# 1
DFT (PBE) results for an optimized crystal structure of Y3HoCd6.

Computed properties:
Raw total energy, eV per cell: -65.067
Formation energy, eV per atom: -0.307
Space group: P2_1/m (11)
DOS at the Fermi energy, states/eV/cell: 14.95

a b c (Å): 9.1708 5.1612 11.0462
angles (deg): 90.00 105.60 90.00
Sites, in units of the cell vectors:
Y  0.0297  0.2500  0.3929
Y  0.1504  0.7500  0.2088
Y  0.2609  0.2500  0.0008
Y  0.7391  0.7500  0.9992
Y  0.8496  0.2500  0.7912
Y  0.9703  0.7500  0.6071
Ho  0.4445  0.2500  0.6051
Ho  0.5555  0.7500  0.3949
Cd  0.0486  0.7500  0.9065
Cd  0.1602  0.2500  0.7061
Cd  0.2609  0.7500  0.5052
Cd  0.3534  0.2500  0.3060
Cd  0.3552  0.7500  0.8080
Cd  0.4485  0.7500  0.1040
Cd  0.5515  0.2500  0.8960
Cd  0.6448  0.2500  0.1920
Cd  0.6466  0.7500  0.6940
Cd  0.7391  0.2500  0.4948
Cd  0.8398  0.7500  0.2939
Cd  0.9514  0.2500  0.0935

# 2
DFT (PBE) results for an optimized crystal structure of TlSiTc3.

Computed properties:
Offset from the most stable computed form, eV per atom: 1.872
Raw total energy, eV per cell: -25.505
Space group: Pm-3m (221)
Raw formation energy, eV per formula unit: 13.38
DOS at the Fermi energy, states/eV/cell: 8.55

a b c (Å): 5.1042 5.1042 5.1042
angles (deg): 90.00 90.00 90.00
Sites, in units of the cell vectors:
Tl  0.0000  0.0000  0.0000
Si  0.5000  0.5000  0.5000
Tc  0.0000  0.0000  0.5000
Tc  0.0000  0.5000  0.0000
Tc  0.5000  0.0000  0.0000

# 3
DFT (PBE) results for an optimized crystal structure of Sn3BiF.

Computed properties:
Offset from the most stable computed form, eV per atom: 0.000
Raw total energy, eV per cell: -19.611
Space group: Pm-3m (221)
Raw formation energy, eV per formula unit: -1.85
DOS at the Fermi energy, states/eV/cell: 3.08

a b c (Å): 5.0925 5.0925 5.0925
angles (deg): 90.00 90.00 90.00
Sites, in units of the cell vectors:
Sn  0.0000  0.0000  0.5000
Sn  0.0000  0.5000  0.0000
Sn  0.5000  0.0000  0.0000
Bi  0.5000  0.5000  0.5000
F  0.0000  0.0000  0.0000

# 4
DFT (PBE) results for an optimized crystal structure of Tl2HgPb.

Computed properties:
Raw total energy, eV per cell: -8.698
Formation energy, eV per atom: 0.011
Space group: Pmmm (47)
DOS at the Fermi energy, states/eV/cell: 1.67

a b c (Å): 3.8029 5.5684 5.5933
angles (deg): 90.00 90.00 90.00
Sites, in units of the cell vectors:
Tl  0.0000  0.0000  0.0000
Tl  0.5000  0.0000  0.5000
Hg  0.0000  0.5000  0.5000
Pb  0.5000  0.5000  0.0000